## BaIrSe (PBE)

Data for a relaxed structure of BaIrSe.

Properties
The density of states at the Fermi level comes out at 0.728 states/eV/atom. The value obtained for the energy relative to the lowest polymorph listed for this composition is 0.099 eV per formula unit. As for the formation energy without anion corrections: -18.04 kcal/mol of atoms.

POSCAR file:
```
BaIrSe
1.0
-2.5706 4.7530 3.6532
2.5706 -4.7530 3.6532
2.5706 4.7530 -3.6532
Ba Ir Se
2 2 2
Direct
0.0000 0.0000 0.0000 Ba
0.5000 0.0000 0.5000 Ba
0.5000 0.0000 0.0000 Ir
0.5000 0.5000 0.5000 Ir
0.2033 0.4533 0.7500 Se
0.7967 0.5467 0.2500 Se
```

## Ba2IrSe (PBE)

Data for a relaxed structure of Ba2IrSe.

Properties
The density of states at the Fermi level comes out at 1.321 states/eV/atom. As for the formation energy without anion corrections: -2.49 kcal/mol of atoms.

POSCAR file:
```
Ba2IrSe
1.0
0.0000 3.8109 3.8109
3.8109 0.0000 3.8109
3.8109 3.8109 0.0000
Ba Ir Se
2 1 1
Direct
0.0000 0.0000 0.0000 Ba
0.2500 0.2500 0.2500 Ba
0.7500 0.7500 0.7500 Ir
0.5000 0.5000 0.5000 Se
```

## BaIrSe2 (PBE)

Data for a relaxed structure of BaIrSe2.

Properties
The density of states at the Fermi level comes out at 1.042 states/eV/atom. The value obtained for the energy relative to the lowest polymorph listed for this composition is 1.824 eV per formula unit. As for the formation energy without anion corrections: -8.93 kcal/mol of atoms.

POSCAR file:
```
BaIrSe2
1.0
-1.8295 2.0429 6.6900
1.8295 -2.0429 6.6900
1.8295 2.0429 -6.6900
Ba Ir Se
1 1 2
Direct
0.0000 0.0000 0.0000 Ba
0.2494 0.7494 0.5000 Ir
0.3731 0.3731 0.0000 Se
0.6875 0.1875 0.5000 Se
```

## BaIrSe2 (PBE)

Data for a relaxed structure of BaIrSe2.

Properties
The density of states at the Fermi level comes out at 0.562 states/eV/atom. The value obtained for the energy relative to the lowest polymorph listed for this composition is 1.869 eV per formula unit. As for the formation energy without anion corrections: -8.67 kcal/mol of atoms.

POSCAR file:
```
BaIrSe2
1.0
1.9680 1.1362 8.7316
-1.9680 1.1362 8.7316
0.0000 -2.2724 8.7316
Ba Ir Se
1 1 2
Direct
0.0000 0.0000 0.0000 Ba
0.5000 0.5000 0.5000 Ir
0.1223 0.1223 0.1223 Se
0.8777 0.8777 0.8777 Se
```

## BaIr2Se (PBE)

Data for a relaxed structure of BaIr2Se.

Properties
The density of states at the Fermi level comes out at 1.802 states/eV/atom. As for the formation energy without anion corrections: 3.93 kcal/mol of atoms.

POSCAR file:
```
BaIr2Se
1.0
3.6255 0.0000 0.0000
0.0000 3.6255 0.0000
0.0000 0.0000 6.9364
Ba Ir Se
1 2 1
Direct
0.0000 0.0000 0.0000 Ba
0.0000 0.0000 0.4543 Ir
0.5000 0.5000 0.3593 Ir
0.5000 0.5000 0.7165 Se
```

## BaIr2Se (PBE)

Data for a relaxed structure of BaIr2Se.

Properties
The density of states at the Fermi level comes out at 1.011 states/eV/atom. As for the formation energy without anion corrections: -4.70 kcal/mol of atoms.

POSCAR file:
```
BaIr2Se
1.0
4.9631 0.0000 0.0000
0.0000 4.0983 0.0000
-0.8694 0.0000 5.1903
Ba Ir Se
1 2 1
Direct
0.0000 0.0000 0.0000 Ba
0.1931 0.5000 0.5595 Ir
0.4671 0.0000 0.5146 Ir
0.7159 0.5000 0.3959 Se
```

## BaIr2Se (PBE)

Data for a relaxed structure of BaIr2Se.

Properties
The density of states at the Fermi level comes out at 0.960 states/eV/atom. As for the formation energy without anion corrections: 13.12 kcal/mol of atoms.

POSCAR file:
```
BaIr2Se
1.0
4.2784 0.0000 0.0000
0.0000 4.2784 0.0000
0.0000 0.0000 4.6331
Ba Ir Se
1 2 1
Direct
0.0000 0.0000 0.0000 Ba
0.0000 0.5000 0.5000 Ir
0.5000 0.0000 0.5000 Ir
0.5000 0.5000 0.0000 Se
```

## BaIr2Se (PBE)

Data for a relaxed structure of BaIr2Se.

Properties
The density of states at the Fermi level comes out at 1.757 states/eV/atom. As for the formation energy without anion corrections: 14.61 kcal/mol of atoms.

POSCAR file:
```
BaIr2Se
1.0
-2.0882 2.0882 4.9749
2.0882 -2.0882 4.9749
2.0882 2.0882 -4.9749
Ba Ir Se
1 2 1
Direct
0.0000 0.0000 0.0000 Ba
0.2500 0.7500 0.5000 Ir
0.7500 0.2500 0.5000 Ir
0.5000 0.5000 0.0000 Se
```

Question: What is the formula in the fourth record?
Answer: BaIrSe2

Question: Which value of formation energy without anion corrections does entry 6 give?
Answer: -4.70 kcal/mol of atoms

Question: Number 6 is which compound?
Answer: BaIr2Se